(1)
First-principles (PBE-GGA) data for an optimized crystal structure of PrSmY3, as listed in the Alexandria database.

Unit cell a=5.776 b=6.342 c=9.700 alpha=108.78 beta=90.00 gamma=90.00
Atoms (fractional coordinates):
1 Pr 0.922 0.420 0.394
2 Pr 0.422 0.158 0.191
3 Sm 0.922 0.019 0.593
4 Sm 0.422 0.559 0.992
5 Y 0.422 0.354 0.596
6 Y 0.922 0.623 0.792
7 Y 0.922 0.224 0.989
8 Y 0.922 0.823 0.190
9 Y 0.422 0.955 0.793
10 Y 0.422 0.755 0.395

Output
- DOS at the Fermi energy: 1.8968 states/eV/atom
- Polymorph energy (0 for the lowest one): 0 meV/atom
- ΔH_f (0 K): 12 meV per atom
- Total magnetic moment: 0.000 μB per formula unit

=====

(2)
First-principles (PBE-GGA) data for an optimized crystal structure of GdTh2Pt, as listed in the Alexandria database.

Unit cell a=3.713 b=3.713 c=8.157 alpha=90.00 beta=90.00 gamma=90.00
Atoms (fractional coordinates):
1 Gd 0.500 0.500 0.500
2 Pt 0.500 0.500 0.000
3 Th 0.000 0.000 0.794
4 Th 0.000 0.000 0.206

Output
- DOS at the Fermi energy: 1.2730 states/eV/atom
- Polymorph energy (0 for the lowest one): 0 meV/atom
- ΔH_f (0 K): -469 meV per atom
- Total magnetic moment: 7.425 μB per formula unit

=====

(3)
First-principles (PBE-GGA) data for an optimized crystal structure of Ag4AsSe, as listed in the Alexandria database.

Unit cell a=5.529 b=5.529 c=5.529 alpha=60.00 beta=60.00 gamma=60.00
Atoms (fractional coordinates):
1 Ag 0.874 0.375 0.375
2 Ag 0.375 0.375 0.874
3 Ag 0.375 0.874 0.375
4 Ag 0.375 0.375 0.375
5 As 0.750 0.750 0.750
6 Se 0.000 0.000 0.000

Output
- Formation energy from raw total energies: 336 meV/atom
- DOS at the Fermi energy: 0.3886 states/eV/atom
- Total magnetic moment: 0.000 μB per formula unit

=====

(4)
First-principles (PBE-GGA) data for an optimized crystal structure of MnTl2N, as listed in the Alexandria database.

Unit cell a=4.602 b=4.602 c=4.602 alpha=60.00 beta=60.00 gamma=60.00
Atoms (fractional coordinates):
1 Tl 0.250 0.250 0.250
2 Tl 0.750 0.750 0.750
3 Mn 0.500 0.500 0.500
4 N 0.000 0.000 0.000

Output
- Formation energy from raw total energies: 1688 meV/atom
- DOS at the Fermi energy: 1.2694 states/eV/atom
- Polymorph energy (0 for the lowest one): 752 meV/atom
- Total magnetic moment: 0.000 μB per formula unit

=====

(5)
First-principles (PBE-GGA) data for an optimized crystal structure of CaPm5Ge4, as listed in the Alexandria database.

Unit cell a=5.139 b=7.073 c=11.044 alpha=132.05 beta=103.45 gamma=90.00
Atoms (fractional coordinates):
1 Ca 0.500 0.000 0.000
2 Pm 0.159 0.309 0.317
3 Pm 0.168 0.848 0.335
4 Pm 0.832 0.152 0.665
5 Pm 0.500 0.500 0.000
6 Pm 0.841 0.691 0.683
7 Ge 0.680 0.112 0.360
8 Ge 0.010 0.276 0.020
9 Ge 0.320 0.888 0.640
10 Ge 0.990 0.724 0.980

Output
- DOS at the Fermi energy: 0.4199 states/eV/atom
- ΔH_f (0 K): -624 meV per atom
- Total magnetic moment: 0.000 μB per formula unit

=====

(6)
First-principles (PBE-GGA) data for an optimized crystal structure of Ag2GeTe2, as listed in the Alexandria database.

Unit cell a=8.108 b=8.108 c=3.767 alpha=90.00 beta=90.00 gamma=90.00
Atoms (fractional coordinates):
1 Ge 0.000 0.000 0.000
2 Ge 0.500 0.500 0.000
3 Te 0.320 0.820 0.000
4 Te 0.820 0.680 0.000
5 Te 0.680 0.180 0.000
6 Te 0.180 0.320 0.000
7 Ag 0.125 0.625 0.500
8 Ag 0.625 0.875 0.500
9 Ag 0.875 0.375 0.500
10 Ag 0.375 0.125 0.500

Output
- Formation energy from raw total energies: 169 meV/atom
- DOS at the Fermi energy: 0.5238 states/eV/atom
- Polymorph energy (0 for the lowest one): 143 meV/atom
- Total magnetic moment: 0.000 μB per formula unit

=====

(7)
First-principles (PBE-GGA) data for an optimized crystal structure of Nd2HgP, as listed in the Alexandria database.

Unit cell a=4.133 b=4.133 c=8.050 alpha=75.12 beta=75.12 gamma=60.00
Atoms (fractional coordinates):
1 P 0.000 0.000 0.000
2 Nd 0.736 0.736 0.791
3 Nd 0.264 0.264 0.209
4 Hg 0.500 0.500 0.500

Output
- DOS at the Fermi energy: 1.0251 states/eV/atom
- Polymorph energy (0 for the lowest one): 0 meV/atom
- ΔH_f (0 K): -969 meV per atom
- Total magnetic moment: 0.000 μB per formula unit

=====

(8)
First-principles (PBE-GGA) data for an optimized crystal structure of LiInBr2, as listed in the Alexandria database.

Unit cell a=4.091 b=4.091 c=8.012 alpha=75.21 beta=75.21 gamma=60.00
Atoms (fractional coordinates):
1 Li 0.667 0.667 0.998
2 In 0.500 0.500 0.501
3 Br 0.066 0.066 0.803
4 Br 0.267 0.267 0.199

Output
- Formation energy from raw total energies: -1038 meV/atom
- DOS at the Fermi energy: 0.0000 states/eV/atom
- Polymorph energy (0 for the lowest one): 27 meV/atom
- Total magnetic moment: 0.000 μB per formula unit

=====

(9)
First-principles (PBE-GGA) data for an optimized crystal structure of HgAs3Cl, as listed in the Alexandria database.

Unit cell a=5.293 b=5.293 c=5.293 alpha=90.00 beta=90.00 gamma=90.00
Atoms (fractional coordinates):
1 As 0.000 0.500 0.000
2 As 0.000 0.000 0.500
3 As 0.500 0.000 0.000
4 Hg 0.000 0.000 0.000
5 Cl 0.500 0.500 0.500

Output
- Formation energy from raw total energies: 1068 meV/atom
- DOS at the Fermi energy: 1.1883 states/eV/atom
- Polymorph energy (0 for the lowest one): 17 meV/atom
- Total magnetic moment: 2.575 μB per formula unit

=====

(10)
First-principles (PBE-GGA) data for an optimized crystal structure of TlP, as listed in the Alexandria database.

Unit cell a=4.344 b=6.531 c=13.301 alpha=90.00 beta=90.00 gamma=90.00
Atoms (fractional coordinates):
1 Tl 0.000 0.895 0.855
2 Tl 0.500 0.105 0.645
3 Tl 0.500 0.105 0.355
4 Tl 0.000 0.895 0.145
5 Tl 0.000 0.608 0.500
6 Tl 0.500 0.392 0.000
7 P 0.000 0.870 0.652
8 P 0.500 0.130 0.848
9 P 0.500 0.130 0.152
10 P 0.000 0.870 0.348
11 P 0.000 0.623 0.000
12 P 0.500 0.377 0.500

Output
- DOS at the Fermi energy: 0.0480 states/eV/atom
- ΔH_f (0 K): 312 meV per atom
- Total magnetic moment: 0.000 μB per formula unit

=====

(11)
First-principles (PBE-GGA) data for an optimized crystal structure of BeAlAs2, as listed in the Alexandria database.

Unit cell a=4.482 b=4.482 c=3.850 alpha=75.24 beta=75.24 gamma=104.25
Atoms (fractional coordinates):
1 Be 0.500 0.000 0.500
2 As 0.000 0.000 0.000
3 As 0.500 0.500 0.000
4 Al 0.000 0.500 0.500

Output
- DOS at the Fermi energy: 0.3509 states/eV/atom
- Polymorph energy (0 for the lowest one): 408 meV/atom
- ΔH_f (0 K): 239 meV per atom
- Total magnetic moment: 0.000 μB per formula unit

=====

(12)
First-principles (PBE-GGA) data for an optimized crystal structure of Ce2ZrAs3Ir4, as listed in the Alexandria database.

Unit cell a=4.136 b=4.136 c=11.128 alpha=90.00 beta=90.00 gamma=90.00
Atoms (fractional coordinates):
1 Ce 0.500 0.000 0.231
2 Ce 0.000 0.500 0.769
3 Zr 0.500 0.500 0.500
4 As 0.000 0.000 0.500
5 As 0.500 0.000 0.868
6 As 0.000 0.500 0.132
7 Ir 0.500 0.500 0.000
8 Ir 0.000 0.000 0.000
9 Ir 0.500 0.000 0.649
10 Ir 0.000 0.500 0.351

Output
- DOS at the Fermi energy: 0.9667 states/eV/atom
- ΔH_f (0 K): -804 meV per atom
- Total magnetic moment: 0.558 μB per formula unit

=====

Question: The highest DOS at the Fermi energy belongs to which entry?
Answer: PrSmY3

=====

Question: Which of these has the highest DOS at the Fermi energy?
Answer: PrSmY3

=====

Question: Which formula does entry 12 have?
Answer: Ce2ZrAs3Ir4

=====

Question: Look up the DOS at the Fermi energy of the sixth one.
Answer: 0.5238 states/eV/atom